(1)
Compound: AlSbIr2
Source: the Alexandria database
Functional: PBE-GGA
Structure: optimized geometry

The structure in POSCAR format:
```
AlSbIr2
1.0
4.5616 0.0000 0.0000
2.2808 3.9505 0.0000
2.2808 1.3168 3.7246
Sb Ir Al
1 2 1
direct
0.7500 0.7500 0.7500
0.0000 0.0000 0.0000
0.2500 0.2500 0.2500
0.5000 0.5000 0.5000
```

Energy above the lowest structure with this stoichiometry in meV/atom: 505
E_form (uncorrected) in kJ/mol of atoms: 21.7
SG: F-43m, No. 216

***

(2)
Compound: AlSbIr2
Source: the Alexandria database
Functional: PBE-GGA
Structure: optimized geometry

The structure in POSCAR format:
```
AlSbIr2
1.0
-0.1378 -4.2310 -3.0291
4.3423 -2.8455 -0.3780
-2.8903 2.0560 3.8099
Sb Ir Al
1 2 1
direct
0.5000 0.5000 0.0000
0.0000 0.0000 0.0000
0.2500 0.7500 0.5000
0.7500 0.2500 0.5000
```

Energy above the lowest structure with this stoichiometry in meV/atom: 176
E_form (uncorrected) in kJ/mol of atoms: -10.1
SG: I-4m2, No. 119

***

Copy entry 1 word for word.
Compound: AlSbIr2
Source: the Alexandria database
Functional: PBE-GGA
Structure: optimized geometry

The structure in POSCAR format:
```
AlSbIr2
1.0
4.5616 0.0000 0.0000
2.2808 3.9505 0.0000
2.2808 1.3168 3.7246
Sb Ir Al
1 2 1
direct
0.7500 0.7500 0.7500
0.0000 0.0000 0.0000
0.2500 0.2500 0.2500
0.5000 0.5000 0.5000
```

Energy above the lowest structure with this stoichiometry in meV/atom: 505
E_form (uncorrected) in kJ/mol of atoms: 21.7
SG: F-43m, No. 216

***

What is the energy above the lowest structure with this stoichiometry in the first record?
505 meV/atom